Material: Pr6US12
Method: DFT, PBE
State: relaxed

Cell lengths 8.108, 8.108, 8.108 Å; angles 98.57, 98.57, 98.57 degrees
Fractional coordinates of all 19 atoms:
S (0.064, 0.973, 0.314)
Pr (0.682, 0.856, 0.367)
S (0.936, 0.027, 0.686)
Pr (0.856, 0.367, 0.682)
S (0.570, 0.416, 0.823)
S (0.686, 0.936, 0.027)
S (0.314, 0.064, 0.973)
S (0.177, 0.430, 0.584)
S (0.973, 0.314, 0.064)
S (0.430, 0.584, 0.177)
S (0.027, 0.686, 0.936)
Pr (0.144, 0.633, 0.318)
S (0.823, 0.570, 0.416)
S (0.584, 0.177, 0.430)
Pr (0.318, 0.144, 0.633)
Pr (0.633, 0.318, 0.144)
U (0.000, 0.000, 0.000)
Pr (0.367, 0.682, 0.856)
S (0.416, 0.823, 0.570)

Summary:
Its total magnetization is 0.000 Bohr magnetons per cell. The total energy comes out at -6.57 eV per atom. For the uncorrected formation energy, the calculation gives -1.858 eV per atom.